# 1
DFT (PBEsol) results for an optimized crystal structure of BaHRh2I.

```
BaHRh2I
1.0
5.184 0.000 0.000
0.000 5.184 0.000
0.000 0.000 4.034
Ba H Rh I
1 1 2 1
direct
0.000 0.000 0.000
0.000 0.000 0.500
0.000 0.500 0.000
0.500 0.000 0.000
0.500 0.500 0.500
```



# 2
PBEsol Ba2ZnNi, relaxed; energy of formation from the pure elements = -0.1 eV per formula unit
1.0
6.388 -2.250 0.000
6.388 2.250 0.000
-0.006 0.000 4.405
Ba Zn Ni
2 1 1
direct
0.000 0.000 0.000
0.728 0.728 0.500
0.413 0.413 0.499
0.331 0.331 0.999



# 3
PBEsol YZn2Cu, relaxed; energy of formation from the pure elements = -1.1 eV per formula unit
1.0
2.155 1.244 4.269
-2.155 1.244 4.269
0.000 -2.488 4.269
Y Zn Cu
1 2 1
direct
0.000 0.000 0.000
0.219 0.219 0.219
0.484 0.484 0.484
0.787 0.787 0.787



# 4
PBEsol Be2ZnCdOs, relaxed; energy of formation from the pure elements = 4.9 eV per formula unit
1.0
4.224 0.000 0.000
0.000 4.224 0.000
0.000 0.000 5.077
Be Zn Cd Os
2 1 1 1
direct
0.000 0.500 0.000
0.500 0.000 0.000
0.000 0.000 0.500
0.500 0.500 0.500
0.500 0.500 0.000



# 5
DFT (PBEsol) results for an optimized crystal structure of KMn2Te.

```
KMn2Te
1.0
0.000 3.585 3.585
3.585 0.000 3.585
3.585 3.585 0.000
K Mn Te
1 2 1
direct
0.000 0.000 0.000
0.500 0.500 0.500
0.750 0.750 0.750
0.250 0.250 0.250
```



# 6
DFT (PBEsol) results for an optimized crystal structure of Li2V5P4O16.

```
Li2V5P4O16
1.0
5.169 0.000 0.000
-1.453 7.745 0.000
-0.388 -2.811 7.490
Li V P O
2 5 4 16
direct
0.122 0.054 0.311
0.878 0.946 0.689
0.145 0.410 0.681
0.412 0.747 0.221
0.500 0.000 0.000
0.588 0.253 0.779
0.855 0.590 0.319
0.106 0.291 0.043
0.351 0.795 0.566
0.649 0.205 0.434
0.894 0.709 0.957
0.154 0.491 0.179
0.159 0.826 0.423
0.198 0.783 0.014
0.216 0.634 0.614
0.225 0.164 0.120
0.235 0.297 0.873
0.391 0.233 0.523
0.408 0.975 0.732
0.592 0.025 0.268
0.609 0.767 0.477
0.765 0.703 0.127
0.775 0.836 0.880
0.784 0.366 0.386
0.802 0.217 0.986
0.841 0.174 0.577
0.846 0.509 0.821
```



Number 1: total energy -17.7 eV per cell, volume 108.4 Å³/cell. Number 2: total energy -12.2 eV per cell, volume 126.7 Å³/cell. Number 3: total energy -15.4 eV per cell, volume 68.7 Å³/cell. Number 4: total energy -18.1 eV per cell, volume 90.6 Å³/cell. Number 5: total energy -20.8 eV per cell, volume 92.1 Å³/cell. Number 6: total energy -213.1 eV per cell, volume 299.8 Å³/cell.